BaLiSn2Hg after structural relaxation. Source: the Alexandria database, functional GGA-PBE.

Values from the calculation:
Excess energy over the best structure of this formula in the dataset ... 187 meV per atom
N(E_F) ... 0.6639 states/eV/atom
Formation energy from the elements ... -0.3002 eV/atom
E_tot ... -2.7290 eV/atom
M_tot ... 0.00 μB/f.u.

a b c (Å): 5.230 5.230 5.259
angles (deg): 90.00 90.00 90.00
Space group P4/mmm (No. 123)
Asymmetric unit:
Ba: 0.000 0.000 0.000 x1
Li: 0.500 0.500 0.500 x1
Sn: 0.000 0.500 0.500 x2
Hg: 0.500 0.500 0.000 x1

=====

GdHoCl after structural relaxation. Source: the Alexandria database, functional GGA-PBE.

Values from the calculation:
N(E_F) ... 0.9900 states/eV/atom
E_tot ... -7.7431 eV/atom
M_tot ... 7.55 μB/f.u.

a b c (Å): 3.6780 3.6780 6.9881
angles (deg): 90.00 90.00 120.00
Space group P3m1 (No. 156)
Asymmetric unit:
Gd: 0.0000 0.0000 0.0000 x1
Ho: 0.3333 0.6667 0.6192 x1
Cl: 0.6667 0.3333 0.3155 x1

=====

Zr5Ti4Ir4 after structural relaxation. Source: the Alexandria database, functional GGA-PBE.

Values from the calculation:
N(E_F) ... 0.8631 states/eV/atom
Formation energy from the elements ... -0.6273 eV/atom
E_tot ... -9.0707 eV/atom
M_tot ... 0.00 μB/f.u.

a b c (Å): 10.700 10.700 4.300
angles (deg): 90.00 90.00 90.00
Space group I4/m (No. 87)
Asymmetric unit:
Zr: 0.000 0.000 0.000 x2
Zr: 0.129 0.192 0.500 x8
Ti: 0.081 0.603 0.500 x8
Ir: 0.078 0.740 0.000 x8